Below is a relaxed structure of CrTc2O, with properties calculated at the PBE+U level.

a = 5.836 Å, b = 5.836 Å, c = 5.836 Å
α = 127.93°, β = 127.93°, γ = 76.74°
Sites, in units of the cell vectors:
Cr: 0.000 0.000 0.000
Cr: 0.750 0.250 0.500
Tc: 0.178 0.625 0.053
Tc: 0.375 0.428 0.553
Tc: 0.572 0.125 0.947
Tc: 0.875 0.822 0.447
O: 0.250 0.750 0.500
O: 0.500 0.500 0.000

magnetic moment: 0.00 Bohr magnetons per cell
final energy: -7.49 eV/atom